Compound: MgCo2Au
Source: the Alexandria database
Functional: PBE
Structure: optimized geometry

Output
Formation energy (eV per atom): 0.3132
Raw total energy (eV/atom): -4.458

Geometry as CIF:
```
data_MgCo2Au
_symmetry_space_group_name_H-M 'R -3 m'
_symmetry_Int_Tables_number 166
_symmetry_space_group_name_Hall '-R 3 2"'
_cell_length_a 2.7645
_cell_length_b 2.7645
_cell_length_c 26.6634
_cell_angle_alpha 90.00
_cell_angle_beta 90.00
_cell_angle_gamma 120.00
loop_
_atom_site_label
_atom_site_type_symbol
_atom_site_fract_x
_atom_site_fract_y
_atom_site_fract_z
Mg1 Mg 0.0000 0.0000 0.0000
Co1 Co 0.0000 0.0000 0.2512
Au1 Au 0.0000 0.0000 0.5000
```

Compound: LaDy4Ho8
Source: the Alexandria database
Functional: PBE
Structure: optimized geometry

Output
Formation energy (eV per atom): 0.1888
Raw total energy (eV/atom): -4.423

Geometry as CIF:
```
data_LaDy4Ho8
_symmetry_space_group_name_H-M 'R -3 m'
_symmetry_Int_Tables_number 166
_symmetry_space_group_name_Hall '-R 3 2"'
_cell_length_a 7.2845
_cell_length_b 7.2845
_cell_length_c 26.9658
_cell_angle_alpha 90.00
_cell_angle_beta 90.00
_cell_angle_gamma 120.00
loop_
_atom_site_label
_atom_site_type_symbol
_atom_site_fract_x
_atom_site_fract_y
_atom_site_fract_z
La1 La 0.0000 0.0000 0.0000
Dy1 Dy 0.0000 0.0000 0.5000
Dy2 Dy 0.0000 0.5000 0.5000
Ho1 Ho 0.0000 0.0000 0.2808
Ho2 Ho 0.0368 0.5184 0.2685
```

Compound: PaVP2
Source: the Alexandria database
Functional: PBE
Structure: optimized geometry

Output
Formation energy (eV per atom): -0.6899
Relative energy among the computed polymorphs (eV/f.u.): 0.00
Raw total energy (eV/atom): -8.048

Geometry as CIF:
```
data_PaVP2
_symmetry_space_group_name_H-M 'I -4 m 2'
_symmetry_Int_Tables_number 119
_symmetry_space_group_name_Hall 'I -4 -2'
_cell_length_a 3.549
_cell_length_b 3.549
_cell_length_c 11.852
_cell_angle_alpha 90.00
_cell_angle_beta 90.00
_cell_angle_gamma 90.00
loop_
_atom_site_label
_atom_site_type_symbol
_atom_site_fract_x
_atom_site_fract_y
_atom_site_fract_z
Pa1 Pa 0.000 0.000 0.000
V1 V 0.000 0.500 0.750
P1 P 0.000 0.000 0.375
```

Compound: KCoPt
Source: the Alexandria database
Functional: PBE
Structure: optimized geometry

Output
Formation energy (eV per atom): 0.6421
Relative energy among the computed polymorphs (eV/f.u.): 1.28
Raw total energy (eV/atom): -4.106

Geometry as CIF:
```
data_KCoPt
_symmetry_space_group_name_H-M 'P 3 m 1'
_symmetry_Int_Tables_number 156
_symmetry_space_group_name_Hall 'P 3 -2"'
_cell_length_a 2.8801
_cell_length_b 2.8801
_cell_length_c 7.6575
_cell_angle_alpha 90.00
_cell_angle_beta 90.00
_cell_angle_gamma 120.00
loop_
_atom_site_label
_atom_site_type_symbol
_atom_site_fract_x
_atom_site_fract_y
_atom_site_fract_z
K1 K 0.0000 0.0000 0.0000
Co1 Co 0.6667 0.3333 0.6256
Pt1 Pt 0.3333 0.6667 0.3640
```

Compound: Tl2MoAs
Source: the Alexandria database
Functional: PBE
Structure: optimized geometry

Output
Formation energy (eV per atom): 0.7403
Relative energy among the computed polymorphs (eV/f.u.): 2.29
Raw total energy (eV/atom): -4.313

Geometry as CIF:
```
data_Tl2MoAs
_symmetry_space_group_name_H-M 'R -3 m'
_symmetry_Int_Tables_number 166
_symmetry_space_group_name_Hall '-R 3 2"'
_cell_length_a 3.1200
_cell_length_b 3.1200
_cell_length_c 30.9137
_cell_angle_alpha 90.00
_cell_angle_beta 90.00
_cell_angle_gamma 120.00
loop_
_atom_site_label
_atom_site_type_symbol
_atom_site_fract_x
_atom_site_fract_y
_atom_site_fract_z
Tl1 Tl 0.0000 0.0000 0.2457
Mo1 Mo 0.0000 0.0000 0.5000
As1 As 0.0000 0.0000 0.0000
```

Compound: SrTa2Au
Source: the Alexandria database
Functional: PBE
Structure: optimized geometry

Output
Formation energy (eV per atom): 0.2203
Relative energy among the computed polymorphs (eV/f.u.): 0.00
Raw total energy (eV/atom): -6.946

Geometry as CIF:
```
data_SrTa2Au
_symmetry_space_group_name_H-M 'P 4 m m'
_symmetry_Int_Tables_number 99
_symmetry_space_group_name_Hall 'P 4 -2'
_cell_length_a 3.458
_cell_length_b 3.458
_cell_length_c 7.798
_cell_angle_alpha 90.00
_cell_angle_beta 90.00
_cell_angle_gamma 90.00
loop_
_atom_site_label
_atom_site_type_symbol
_atom_site_fract_x
_atom_site_fract_y
_atom_site_fract_z
Sr1 Sr 0.000 0.000 0.000
Ta1 Ta 0.000 0.000 0.497
Ta2 Ta 0.500 0.500 0.334
Au1 Au 0.500 0.500 0.714
```

Compound: ZrNb2CdF
Source: the Alexandria database
Functional: PBE
Structure: optimized geometry

Output
Formation energy without anion corrections (eV per atom): -0.177
Raw total energy (eV/atom): -6.472

Geometry as CIF:
```
data_ZrNb2CdF
_symmetry_space_group_name_H-M 'P 4/m m m'
_symmetry_Int_Tables_number 123
_symmetry_space_group_name_Hall '-P 4 2'
_cell_length_a 4.404
_cell_length_b 4.404
_cell_length_c 4.537
_cell_angle_alpha 90.00
_cell_angle_beta 90.00
_cell_angle_gamma 90.00
loop_
_atom_site_label
_atom_site_type_symbol
_atom_site_fract_x
_atom_site_fract_y
_atom_site_fract_z
Zr1 Zr 0.000 0.000 0.000
Nb1 Nb 0.000 0.500 0.500
Cd1 Cd 0.500 0.500 0.000
F1 F 0.000 0.000 0.500
```

Compound: Pm3YHo8
Source: the Alexandria database
Functional: PBE
Structure: optimized geometry

Output
Formation energy (eV per atom): 0.0146
Raw total energy (eV/atom): -4.764

Geometry as CIF:
```
data_Pm3YHo8
_symmetry_space_group_name_H-M 'I m m 2'
_symmetry_Int_Tables_number 44
_symmetry_space_group_name_Hall 'I 2 -2'
_cell_length_a 10.890
_cell_length_b 11.343
_cell_length_c 6.294
_cell_angle_alpha 90.00
_cell_angle_beta 90.00
_cell_angle_gamma 90.00
loop_
_atom_site_label
_atom_site_type_symbol
_atom_site_fract_x
_atom_site_fract_y
_atom_site_fract_z
Pm1 Pm 0.000 0.000 0.000
Pm2 Pm 0.000 0.250 0.664
Y1 Y 0.000 0.500 0.000
Ho1 Ho 0.167 0.500 0.497
Ho2 Ho 0.168 0.000 0.498
Ho3 Ho 0.168 0.251 0.167
```

Compound: Ba2PtCl
Source: the Alexandria database
Functional: PBE
Structure: optimized geometry

Output
Formation energy without anion corrections (eV per atom): -1.138
Relative energy among the computed polymorphs (eV/f.u.): 0.94
Raw total energy (eV/atom): -4.071

Geometry as CIF:
```
data_Ba2PtCl
_symmetry_space_group_name_H-M 'I -4 2 d'
_symmetry_Int_Tables_number 122
_symmetry_space_group_name_Hall 'I -4 2bw'
_cell_length_a 7.165
_cell_length_b 7.165
_cell_length_c 14.310
_cell_angle_alpha 90.00
_cell_angle_beta 90.00
_cell_angle_gamma 90.00
loop_
_atom_site_label
_atom_site_type_symbol
_atom_site_fract_x
_atom_site_fract_y
_atom_site_fract_z
Ba1 Ba 0.235 0.250 0.125
Pt1 Pt 0.000 0.000 0.000
Cl1 Cl 0.000 0.000 0.500
```

Compound: Pu2AlSiNi6
Source: the Alexandria database
Functional: PBE
Structure: optimized geometry

Output
Formation energy without anion corrections (eV per atom): -0.214
Raw total energy (eV/atom): -7.465

Geometry as CIF:
```
data_Pu2AlSiNi6
_symmetry_space_group_name_H-M 'R -3 m'
_symmetry_Int_Tables_number 166
_symmetry_space_group_name_Hall '-R 3 2"'
_cell_length_a 5.9191
_cell_length_b 5.9191
_cell_length_c 31.4694
_cell_angle_alpha 90.00
_cell_angle_beta 90.00
_cell_angle_gamma 120.00
loop_
_atom_site_label
_atom_site_type_symbol
_atom_site_fract_x
_atom_site_fract_y
_atom_site_fract_z
Pu1 Pu 0.0000 0.0000 0.1395
Pu2 Pu 0.0000 0.0000 0.3048
Al1 Al 0.0000 0.0000 0.0000
Al2 Al 0.0000 0.0000 0.5000
Si1 Si 0.0000 0.0000 0.4148
Ni1 Ni 0.0618 0.5309 0.8860
Ni2 Ni 0.0664 0.5332 0.7273
```

Compound: Ce3Bi3H
Source: the Alexandria database
Functional: PBE
Structure: optimized geometry

Output
Raw total energy (eV/atom): -5.265

Geometry as CIF:
```
data_Ce3Bi3H
_symmetry_space_group_name_H-M 'C 1 2/m 1'
_symmetry_Int_Tables_number 12
_symmetry_space_group_name_Hall '-C 2y'
_cell_length_a 9.302
_cell_length_b 13.822
_cell_length_c 6.489
_cell_angle_alpha 90.00
_cell_angle_beta 92.21
_cell_angle_gamma 90.00
loop_
_atom_site_label
_atom_site_type_symbol
_atom_site_fract_x
_atom_site_fract_y
_atom_site_fract_z
Ce1 Ce 0.079 0.000 0.274
Ce2 Ce 0.195 0.365 0.248
Bi1 Bi 0.000 0.195 0.000
Bi2 Bi 0.000 0.207 0.500
Bi3 Bi 0.094 0.500 0.764
H1 H 0.166 0.000 0.635
```

Compound: LaNi3
Source: the Alexandria database
Functional: PBE
Structure: optimized geometry

Output
Formation energy (eV per atom): -0.2924
Raw total energy (eV/atom): -5.860

Geometry as CIF:
```
data_LaNi3
_symmetry_space_group_name_H-M 'C 1 2/m 1'
_symmetry_Int_Tables_number 12
_symmetry_space_group_name_Hall '-C 2y'
_cell_length_a 7.163
_cell_length_b 4.139
_cell_length_c 5.288
_cell_angle_alpha 90.00
_cell_angle_beta 117.09
_cell_angle_gamma 90.00
loop_
_atom_site_label
_atom_site_type_symbol
_atom_site_fract_x
_atom_site_fract_y
_atom_site_fract_z
La1 La 0.000 0.000 0.000
Ni1 Ni 0.000 0.500 0.500
Ni2 Ni 0.190 0.000 0.571
```

Compound: Si2Te
Source: the Alexandria database
Functional: PBE
Structure: optimized geometry

Output
Formation energy without anion corrections (eV per atom): 0.702
Relative energy among the computed polymorphs (eV/f.u.): 2.04
Raw total energy (eV/atom): -3.960

Geometry as CIF:
```
data_Si2Te
_symmetry_space_group_name_H-M 'P 63/m m c'
_symmetry_Int_Tables_number 194
_symmetry_space_group_name_Hall '-P 6c 2c'
_cell_length_a 5.1281
_cell_length_b 5.1281
_cell_length_c 5.4683
_cell_angle_alpha 90.00
_cell_angle_beta 90.00
_cell_angle_gamma 120.00
loop_
_atom_site_label
_atom_site_type_symbol
_atom_site_fract_x
_atom_site_fract_y
_atom_site_fract_z
Si1 Si 0.0000 0.0000 0.0000
Si2 Si 0.3333 0.6667 0.2500
Te1 Te 0.3333 0.6667 0.7500
```

Compound: Al2MoSe
Source: the Alexandria database
Functional: PBE
Structure: optimized geometry

Output
Formation energy without anion corrections (eV per atom): -0.092
Raw total energy (eV/atom): -5.543

Geometry as CIF:
```
data_Al2MoSe
_symmetry_space_group_name_H-M 'C 1 m 1'
_symmetry_Int_Tables_number 8
_symmetry_space_group_name_Hall 'C -2y'
_cell_length_a 9.899
_cell_length_b 3.024
_cell_length_c 4.771
_cell_angle_alpha 90.00
_cell_angle_beta 103.23
_cell_angle_gamma 90.00
loop_
_atom_site_label
_atom_site_type_symbol
_atom_site_fract_x
_atom_site_fract_y
_atom_site_fract_z
Al1 Al 0.000 0.000 0.000
Al2 Al 0.224 0.000 0.667
Mo1 Mo 0.484 0.000 0.523
Se1 Se 0.294 0.500 0.237
```

Compound: Li2ZnTc
Source: the Alexandria database
Functional: PBE
Structure: optimized geometry

Output
Formation energy (eV per atom): 0.0809
Raw total energy (eV/atom): -3.786

Geometry as CIF:
```
data_Li2ZnTc
_symmetry_space_group_name_H-M 'C m m 2'
_symmetry_Int_Tables_number 35
_symmetry_space_group_name_Hall 'C 2 -2'
_cell_length_a 3.329
_cell_length_b 4.005
_cell_length_c 8.973
_cell_angle_alpha 90.00
_cell_angle_beta 90.00
_cell_angle_gamma 90.00
loop_
_atom_site_label
_atom_site_type_symbol
_atom_site_fract_x
_atom_site_fract_y
_atom_site_fract_z
Li1 Li 0.000 0.000 0.000
Li2 Li 0.000 0.500 0.286
Zn1 Zn 0.000 0.500 0.768
Tc1 Tc 0.000 0.000 0.528
```

Compound: SbTe2MoPd
Source: the Alexandria database
Functional: PBE
Structure: optimized geometry

Output
Formation energy without anion corrections (eV per atom): 0.895
Relative energy among the computed polymorphs (eV/f.u.): 0.94
Raw total energy (eV/atom): -4.391

Geometry as CIF:
```
data_SbTe2MoPd
_symmetry_space_group_name_H-M 'P 4/m m m'
_symmetry_Int_Tables_number 123
_symmetry_space_group_name_Hall '-P 4 2'
_cell_length_a 5.332
_cell_length_b 5.332
_cell_length_c 5.054
_cell_angle_alpha 90.00
_cell_angle_beta 90.00
_cell_angle_gamma 90.00
loop_
_atom_site_label
_atom_site_type_symbol
_atom_site_fract_x
_atom_site_fract_y
_atom_site_fract_z
Sb1 Sb 0.000 0.000 0.000
Te1 Te 0.000 0.500 0.500
Mo1 Mo 0.500 0.500 0.000
Pd1 Pd 0.000 0.000 0.500
```

Compound: Tl8BiPb2
Source: the Alexandria database
Functional: PBE
Structure: optimized geometry

Output
Formation energy (eV per atom): 0.1051
Relative energy among the computed polymorphs (eV/f.u.): 1.07
Raw total energy (eV/atom): -2.643

Geometry as CIF:
```
data_Tl8BiPb2
_symmetry_space_group_name_H-M 'C 1 2/m 1'
_symmetry_Int_Tables_number 12
_symmetry_space_group_name_Hall '-C 2y'
_cell_length_a 13.038
_cell_length_b 10.677
_cell_length_c 5.896
_cell_angle_alpha 90.00
_cell_angle_beta 104.32
_cell_angle_gamma 90.00
loop_
_atom_site_label
_atom_site_type_symbol
_atom_site_fract_x
_atom_site_fract_y
_atom_site_fract_z
Tl1 Tl 0.077 0.235 0.289
Tl2 Tl 0.094 0.000 0.794
Tl3 Tl 0.240 0.000 0.380
Bi1 Bi 0.000 0.500 0.500
Pb1 Pb 0.133 0.500 0.054
```

Compound: YTe2SN
Source: the Alexandria database
Functional: PBE
Structure: optimized geometry

Output
Formation energy without anion corrections (eV per atom): 0.227
Relative energy among the computed polymorphs (eV/f.u.): 0.00
Raw total energy (eV/atom): -4.813

Geometry as CIF:
```
data_YTe2SN
_symmetry_space_group_name_H-M 'P 4/m m m'
_symmetry_Int_Tables_number 123
_symmetry_space_group_name_Hall '-P 4 2'
_cell_length_a 5.750
_cell_length_b 5.750
_cell_length_c 3.415
_cell_angle_alpha 90.00
_cell_angle_beta 90.00
_cell_angle_gamma 90.00
loop_
_atom_site_label
_atom_site_type_symbol
_atom_site_fract_x
_atom_site_fract_y
_atom_site_fract_z
Y1 Y 0.000 0.000 0.000
Te1 Te 0.000 0.500 0.500
S1 S 0.500 0.500 0.500
N1 N 0.500 0.500 0.000
```

Compound: Ti6Pd5Pt
Source: the Alexandria database
Functional: PBE
Structure: optimized geometry

Output
Formation energy (eV per atom): -0.5958
Raw total energy (eV/atom): -7.210

Geometry as CIF:
```
data_Ti6Pd5Pt
_symmetry_space_group_name_H-M 'P 1 2/m 1'
_symmetry_Int_Tables_number 10
_symmetry_space_group_name_Hall '-P 2y'
_cell_length_a 4.017
_cell_length_b 7.727
_cell_length_c 6.341
_cell_angle_alpha 90.00
_cell_angle_beta 108.34
_cell_angle_gamma 90.00
loop_
_atom_site_label
_atom_site_type_symbol
_atom_site_fract_x
_atom_site_fract_y
_atom_site_fract_z
Ti1 Ti 0.000 0.249 0.000
Ti2 Ti 0.334 0.249 0.668
Pd1 Pd 0.167 0.500 0.333
Pd2 Pd 0.168 0.000 0.335
Pd3 Pd 0.500 0.500 0.000
Pt1 Pt 0.500 0.000 0.000
```

Compound: SiS2NO
Source: the Alexandria database
Functional: PBE
Structure: optimized geometry

Output
Formation energy without anion corrections (eV per atom): 0.980
Relative energy among the computed polymorphs (eV/f.u.): 0.00
Raw total energy (eV/atom): -4.412

Geometry as CIF:
```
data_SiS2NO
_symmetry_space_group_name_H-M 'P 4/m m m'
_symmetry_Int_Tables_number 123
_symmetry_space_group_name_Hall '-P 4 2'
_cell_length_a 4.611
_cell_length_b 4.611
_cell_length_c 3.343
_cell_angle_alpha 90.00
_cell_angle_beta 90.00
_cell_angle_gamma 90.00
loop_
_atom_site_label
_atom_site_type_symbol
_atom_site_fract_x
_atom_site_fract_y
_atom_site_fract_z
Si1 Si 0.000 0.000 0.000
S1 S 0.000 0.500 0.000
N1 N 0.000 0.000 0.500
O1 O 0.500 0.500 0.500
```

Number 1: total moment 3.06 μB per formula unit. Number 2: total moment 0.00 μB per formula unit. Number 3: total moment 0.00 μB per formula unit. Number 4: total moment 1.96 μB per formula unit. Number 5: total moment 0.00 μB per formula unit. Number 6: total moment 0.00 μB per formula unit. Number 7: total moment 0.00 μB per formula unit. Number 8: total moment 0.00 μB per formula unit. Number 9: total moment 0.00 μB per formula unit. Number 10: total moment 10.27 μB per formula unit. Number 11: total moment 3.18 μB per formula unit. Number 12: total moment 0.12 μB per formula unit. Number 13: total moment 0.00 μB per formula unit. Number 14: total moment 0.00 μB per formula unit. Number 15: total moment 0.00 μB per formula unit. Number 16: total moment 3.19 μB per formula unit. Number 17: total moment 0.00 μB per formula unit. Number 18: total moment 0.16 μB per formula unit. Number 19: total moment 0.00 μB per formula unit. Number 20: total moment 0.68 μB per formula unit.